TbCo9Si2 | meta-GGA SCAN | PBEsol geometry

Properties
- V (Å³ per cell) = 559.3
- ΔE_f (raw) (eV per atom) = -0.228
- total magnetization (μB per cell) = 43.9

Lattice parameters (Å, degrees): 9.5154 9.5154 6.1775 90.00 90.00 90.00
Last column: nearest neighbours and their distance in Å.
Space group I4_1/amd (No. 141, origin choice 2)
Unique sites:
Tb  0.0000  0.2500  0.3750 (multiplicity 4)  18 Co 2.97-3.09, 4 Si 3.32
Co  0.0000  0.2500  0.8750 (multiplicity 4)  4 Si 2.50, 8 Co 2.58
Co  0.1238  0.0440  0.6829 (multiplicity 32)  2 Si 2.32-2.34, 7 Co 2.36-2.58
Si  0.0000  0.0000  0.0000 (multiplicity 8)  10 Co 2.32-2.50